Y2SnAu2 | SCAN | PBEsol geometry

POSCAR file:
```
Y2SnAu2
1.0
-1.8859 1.8859 8.5085
1.8859 -1.8859 8.5085
1.8859 1.8859 -8.5085
Y Sn Au
2 1 2
Direct
0.1121 0.1121 0.0000
0.8879 0.8879 0.0000
0.5000 0.5000 0.0000
0.2500 0.7500 0.5000
0.7500 0.2500 0.5000
```

Theoretical density, g/cm³: 9.5
Total moment, μB per formula unit: 0.00
DOS at the Fermi energy, states/eV/atom: 0.66
Formation energy, meV/atom: -710